Entry from the Alexandria database: an optimized crystal structure of LiTcW2 (PBE-GGA).

Properties
**Crystal system**: monoclinic
**Energy of formation from the pure elements**: 1.02 eV per formula unit
**Density of states at the Fermi level**: 1.9 states/eV/f.u.
**Energy above the most stable polymorph in this dataset**: 0 meV/atom
**Calculated density**: 13.10 Mg/m³

a b c (Å): 2.6492 4.3751 5.2387
angles (deg): 90.00 99.43 90.00
Last column: nearest neighbours and their distance in Å.
Space group Pm (No. 6)
Unique sites:
Li  0.0000  0.0000  0.0000 x1  2 Li 2.65, 2 Tc 2.65, 4 W 2.69-2.75
Tc  0.7642  0.5000  0.2424 x1  2 Tc 2.65, 2 Li 2.65, 4 W 2.66-2.80
W  0.2707  0.5000  0.7550 x1  4 W 2.65-2.75, 2 Tc 2.67-2.80, 2 Li 2.69
W  0.5428  0.0000  0.4898 x1  4 W 2.65-2.75, 2 Tc 2.66, 2 Li 2.73-2.75